# KLiW6O18 PBE+U relaxed
# - Uncorrected energy: -376.56 eV/cell
# - Volume: 14.7 Å³ per atom
data_KLiW6O18
_space_group_name_H-M_alt 'C 1 m 1'
_space_group_IT_number 8
_space_group_name_Hall 'C -2y'
_cell_length_a 13.0436
_cell_length_b 7.5635
_cell_length_c 7.7699
_cell_angle_alpha 90.00
_cell_angle_beta 90.16
_cell_angle_gamma 90.00
loop_
_atom_site_label
_atom_site_type_symbol
_atom_site_fract_x
_atom_site_fract_y
_atom_site_fract_z
_atom_site_occupancy
K1 K 0.0000 0.0000 0.0000 1
Li1 Li 0.3217 0.0000 0.4040 1
W1 W 0.9995 0.5000 0.1480 1
W2 W 0.2478 0.2528 0.6515 1
W3 W 0.2486 0.2525 0.1473 1
W4 W 0.4989 0.0000 0.6514 1
O1 O 0.0160 0.5000 0.8931 1
O2 O 0.1060 0.3209 0.6278 1
O3 O 0.1070 0.3180 0.1676 1
O4 O 0.2134 0.0000 0.1566 1
O5 O 0.2149 0.0000 0.6393 1
O6 O 0.2351 0.2497 0.8976 1
O7 O 0.2634 0.2453 0.3998 1
O8 O 0.2862 0.5000 0.6563 1
O9 O 0.2885 0.5000 0.1410 1
O10 O 0.3913 0.1795 0.6695 1
O11 O 0.3912 0.1818 0.1276 1
O12 O 0.4757 0.0000 0.4042 1